No. 1
LiGePd4 | PBE | relaxed

**Fermi-level density of states**: 6.570 states/eV/cell
**Uncorrected energy**: -4.94 eV/atom
**Volume**: 14.9 Å³/atom
**Excess energy over the best structure of this formula in the dataset**: 0.16 eV/f.u.
**Total magnetization**: 0.00 μB per formula unit
**Mass density**: 9.36 Mg/m³
**Formation enthalpy at 0 K**: -388 meV per atom

Cell: 4.9923 7.6462 5.0397 Å, 90.00 68.79 90.00°
Closest atoms and distances in Å follow each position.
Atoms (fractional coordinates):
Pd1 0.3882 0.8341 0.1032  2 Ge 2.52-2.63, 1 Li 2.59, 5 Pd 2.79-2.82
Pd2 0.6118 0.1659 0.8968  2 Ge 2.52-2.63, 1 Li 2.59, 5 Pd 2.79-2.82
Pd3 0.8882 0.6659 0.1032  2 Ge 2.52-2.63, 1 Li 2.59, 5 Pd 2.79-2.82
Pd4 0.0931 0.1595 0.3903  1 Ge 2.50, 2 Li 2.59-2.67, 2 Pd 2.70-2.79
Pd5 0.4069 0.6595 0.6097  1 Ge 2.50, 2 Li 2.59-2.67, 2 Pd 2.70-2.79
Pd6 0.5931 0.3405 0.3903  1 Ge 2.50, 2 Li 2.59-2.67, 2 Pd 2.70-2.79
Pd7 0.9069 0.8405 0.6097  1 Ge 2.50, 2 Li 2.59-2.67, 2 Pd 2.70-2.79
Pd8 0.1118 0.3341 0.8968  2 Ge 2.52-2.63, 1 Li 2.59, 5 Pd 2.79-2.82
Li1 0.0000 0.5000 0.5000  6 Pd 2.59-2.67, 2 Ge 2.83
Li2 0.5000 0.0000 0.5000  6 Pd 2.59-2.67, 2 Ge 2.83
Ge1 0.5000 0.5000 0.0000  6 Pd 2.50-2.63
Ge2 0.0000 0.0000 0.0000  6 Pd 2.50-2.63

No. 2
HgPbAu2 | PBE | relaxed

**Fermi-level density of states**: 4.684 states/eV/cell
**Uncorrected energy**: -2.59 eV/atom
**Volume**: 26.2 Å³/atom
**Excess energy over the best structure of this formula in the dataset**: 0.26 eV/f.u.
**Total magnetization**: 0.00 μB per formula unit
**Mass density**: 12.70 Mg/m³
**Formation enthalpy at 0 K**: 53 meV per atom

Cell: 4.2228 6.3608 8.2376 Å, 90.00 90.00 108.68°
Closest atoms and distances in Å follow each position.
Atoms (fractional coordinates):
Au1 0.2990 0.6032 0.0828  3 Au 2.76-2.81, 1 Pb 2.91, 2 Hg 2.96-2.97
Au2 0.7010 0.3968 0.9172  3 Au 2.76-2.81, 1 Pb 2.91, 2 Hg 2.96-2.97
Au3 0.7010 0.3968 0.5828  3 Au 2.76-2.81, 1 Pb 2.91, 2 Hg 2.96-2.97
Au4 0.2990 0.6032 0.4172  3 Au 2.76-2.81, 1 Pb 2.91, 2 Hg 2.96-2.97
Hg1 0.9264 0.8619 0.2500  4 Au 2.96-2.97, 2 Pb 3.08-3.09
Hg2 0.0736 0.1381 0.7500  4 Au 2.96-2.97, 2 Pb 3.08-3.09
Pb1 0.6083 0.2351 0.2500  2 Au 2.91, 2 Hg 3.08-3.09
Pb2 0.3917 0.7649 0.7500  2 Au 2.91, 2 Hg 3.08-3.09

No. 3
Ge3BiMo | PBE | relaxed

**Fermi-level density of states**: 4.790 states/eV/cell
**Uncorrected energy**: -5.25 eV/atom
**Volume**: 24.5 Å³/atom
**Excess energy over the best structure of this formula in the dataset**: 0.00 eV/f.u.
**Total magnetization**: 0.00 μB per formula unit
**Mass density**: 7.09 Mg/m³
**Formation enthalpy at 0 K**: 458 meV per atom

Cell: 4.9663 4.9663 4.9663 Å, 90.00 90.00 90.00°
Closest atoms and distances in Å follow each position.
Atoms (fractional coordinates):
Ge1 0.5000 0.0000 0.0000  2 Mo 2.48
Ge2 0.0000 0.5000 0.0000  2 Mo 2.48
Ge3 0.0000 0.0000 0.5000  2 Mo 2.48
Bi1 0.5000 0.5000 0.5000  12 Ge 3.51
Mo1 0.0000 0.0000 0.0000  6 Ge 2.48

No. 4
USiNi2 | PBE | relaxed

**Fermi-level density of states**: 6.112 states/eV/cell
**Uncorrected energy**: -7.10 eV/atom
**Volume**: 14.2 Å³/atom
**Total magnetization**: 0.43 μB per formula unit
**E_form (uncorrected)**: -0.028 eV/atom
**Mass density**: 11.24 Mg/m³

Cell: 2.7712 2.7712 8.6712 Å, 80.81 80.81 60.00°
Closest atoms and distances in Å follow each position.
Atoms (fractional coordinates):
Ni1 0.7349 0.7349 0.7952  3 Si 2.37
Ni2 0.2651 0.2651 0.2048  3 Si 2.37
Si1 0.0000 0.0000 0.0000  6 Ni 2.37
U1 0.5000 0.5000 0.5000  6 U 2.77, 6 Ni 2.98

No. 5
BAsIrBr2 | PBE | relaxed

**Fermi-level density of states**: 1.971 states/eV/cell
**Uncorrected energy**: -3.51 eV/atom
**Volume**: 26.2 Å³/atom
**Excess energy over the best structure of this formula in the dataset**: 0.14 eV/f.u.
**Total magnetization**: 0.00 μB per formula unit
**E_form (uncorrected)**: 1.199 eV/atom
**Mass density**: 5.54 Mg/m³

Cell: 5.3451 5.3451 4.5924 Å, 90.00 90.00 90.00°
Closest atoms and distances in Å follow each position.
Atoms (fractional coordinates):
Ir1 0.0000 0.0000 0.0000  2 As 2.30
As1 0.0000 0.0000 0.5000  2 Ir 2.30
B1 0.5000 0.5000 0.5000  8 Br 3.52, 4 As 3.78
Br1 0.5000 0.0000 0.0000  2 Ir 2.67
Br2 0.0000 0.5000 0.0000  2 Ir 2.67

No. 6
K2ZnF | PBE | relaxed

**Fermi-level density of states**: 5.813 states/eV/cell
**Uncorrected energy**: -2.58 eV/atom
**Volume**: 31.3 Å³/atom
**Excess energy over the best structure of this formula in the dataset**: 0.09 eV/f.u.
**Total magnetization**: 0.00 μB per formula unit
**E_form (uncorrected)**: -1.247 eV/atom
**Mass density**: 2.16 Mg/m³

Cell: 8.4503 4.8321 13.9864 Å, 90.00 118.66 90.00°
Closest atoms and distances in Å follow each position.
Atoms (fractional coordinates):
K1 0.4227 0.5000 0.7406  2 F 2.67-2.78
K2 0.1099 0.0000 0.5311  3 F 2.62-2.65
K3 0.7741 0.0000 0.9082  3 F 2.58-2.62
K4 0.1099 0.5000 0.0311  3 F 2.62-2.65
K5 0.4227 0.0000 0.2406  2 F 2.67-2.78
K6 0.7741 0.5000 0.4082  3 F 2.58-2.62
K7 0.8939 0.0000 0.2042  2 F 2.56-2.60
K8 0.8939 0.5000 0.7042  2 F 2.56-2.60
F1 0.0721 0.5000 0.5957  5 K 2.60-2.67
F2 0.0721 0.0000 0.0957  5 K 2.60-2.67
F3 0.7982 0.5000 0.8524  5 K 2.56-2.78
F4 0.7982 0.0000 0.3524  5 K 2.56-2.78
Zn1 0.4232 0.5000 0.4707  2 Zn 2.52
Zn2 0.5050 0.5000 0.0197  2 Zn 2.52
Zn3 0.4232 0.0000 0.9707  2 Zn 2.52
Zn4 0.5050 0.0000 0.5197  2 Zn 2.52

No. 7
CaSm5Pt6 | PBE | relaxed

**Fermi-level density of states**: 7.596 states/eV/cell
**Uncorrected energy**: -6.25 eV/atom
**Volume**: 22.5 Å³/atom
**Total magnetization**: 0.00 μB per formula unit
**Mass density**: 12.06 Mg/m³
**Formation enthalpy at 0 K**: -1094 meV per atom

Cell: 5.0320 8.7127 8.7127 Å, 119.94 106.80 106.80°
Closest atoms and distances in Å follow each position.
Atoms (fractional coordinates):
Pt1 0.2334 0.7339 0.7339  6 Sm 3.01-3.07, 2 Ca 3.15, 1 Pt 3.33
Pt2 0.2591 0.4308 0.0863  7 Sm 3.02-3.12, 1 Ca 3.18
Pt3 0.2591 0.0863 0.4308  7 Sm 3.02-3.12, 1 Ca 3.18
Pt4 0.7409 0.9137 0.5692  7 Sm 3.02-3.12, 1 Ca 3.18
Pt5 0.7666 0.2661 0.2661  6 Sm 3.01-3.07, 2 Ca 3.15, 1 Pt 3.33
Pt6 0.7409 0.5692 0.9137  7 Sm 3.02-3.12, 1 Ca 3.18
Sm1 0.5000 0.8401 0.1598  8 Pt 3.06-3.12
Sm2 0.5000 0.1599 0.8402  8 Pt 3.06-3.12
Sm3 0.0000 0.3313 0.6687  8 Pt 3.02-3.05
Sm4 0.5000 0.5000 0.5000  8 Pt 3.01-3.12
Sm5 0.0000 0.6687 0.3313  8 Pt 3.02-3.05
Ca1 0.0000 0.0000 0.0000  8 Pt 3.15-3.18, 4 Sm 3.49

No. 8
Rh2C | PBE | relaxed

**Fermi-level density of states**: 8.631 states/eV/cell
**Uncorrected energy**: -5.58 eV/atom
**Volume**: 14.8 Å³/atom
**Excess energy over the best structure of this formula in the dataset**: 6.60 eV/f.u.
**Total magnetization**: 0.00 μB per formula unit
**Mass density**: 8.12 Mg/m³
**Formation enthalpy at 0 K**: 2391 meV per atom

Cell: 5.0132 5.0132 5.0132 Å, 60.00 60.00 60.00°
Closest atoms and distances in Å follow each position.
Atoms (fractional coordinates):
C1 0.7500 0.7500 0.7500  12 Rh 2.94, 4 C 3.07
C2 0.5000 0.5000 0.5000  12 Rh 2.94, 4 C 3.07
Rh1 0.1250 0.1250 0.6250  6 Rh 2.51
Rh2 0.1250 0.6250 0.1250  6 Rh 2.51
Rh3 0.1250 0.1250 0.1250  6 Rh 2.51
Rh4 0.6250 0.1250 0.1250  6 Rh 2.51